Arrangement a

# Sr2LiCaPt PBE relaxed
# - Magnetic moment: 0.0000 μB per atom
data_Sr2LiCaPt
_chemical_formula_sum 'Sr2 Li1 Ca1 Pt1'
_space_group_name_H-M_alt 'P 4/m m m'
_space_group_IT_number 123
_space_group_name_Hall '-P 4 2'
_cell_length_a 5.9472
_cell_length_b 5.9472
_cell_length_c 5.6150
_cell_angle_alpha 90.00
_cell_angle_beta 90.00
_cell_angle_gamma 90.00
loop_
_atom_site_label
_atom_site_type_symbol
_atom_site_fract_x
_atom_site_fract_y
_atom_site_fract_z
Sr1 Sr 0.0000 0.5000 0.0000
Li1 Li 0.0000 0.0000 0.5000
Ca1 Ca 0.5000 0.5000 0.5000
Pt1 Pt 0.5000 0.5000 0.0000

Arrangement b

# Sr2LiCaPt PBE relaxed
# - Magnetic moment: 0.0000 μB per atom
data_Sr2LiCaPt
_chemical_formula_sum 'Sr2 Li1 Ca1 Pt1'
_space_group_name_H-M_alt 'P 4/m m m'
_space_group_IT_number 123
_space_group_name_Hall '-P 4 2'
_cell_length_a 5.9536
_cell_length_b 5.9536
_cell_length_c 5.1672
_cell_angle_alpha 90.00
_cell_angle_beta 90.00
_cell_angle_gamma 90.00
loop_
_atom_site_label
_atom_site_type_symbol
_atom_site_fract_x
_atom_site_fract_y
_atom_site_fract_z
Sr1 Sr 0.0000 0.5000 0.0000
Li1 Li 0.0000 0.0000 0.5000
Ca1 Ca 0.5000 0.5000 0.5000
Pt1 Pt 0.0000 0.0000 0.0000

arrangement a takes first place; second place is 136 meV per atom up.